No. 1
Computed, not measured: an optimized crystal structure of Pr14ErMg at the PBE level of DFT.

Calculated values
energy: -73.00 eV/f.u.
energy relative to the elements: 0.00 eV/atom
total magnetic moment: 0.0 μB per cell
N(E_F): 1.237 states/eV per atom

Cell lengths 10.4231, 7.3281, 7.3281 Å; angles 89.99, 90.00, 90.00 degrees
Last column: nearest neighbours and their distance in Å.
Atoms (fractional coordinates):
Pr 0.0000 0.9996 0.9996  12 Pr 3.66-3.71
Pr 0.0000 0.0005 0.4990  12 Pr 3.66-3.70
Pr 0.0000 0.4990 0.0005  12 Pr 3.66-3.70
Pr 0.0000 0.5000 0.5000  12 Pr 3.66-3.71
Pr 0.2533 0.7502 0.7502  10 Pr 3.64-3.70, 1 Mg 3.65, 1 Er 3.65
Pr 0.2539 0.2497 0.7499  10 Pr 3.64-3.70, 1 Mg 3.64, 1 Er 3.65
Pr 0.2539 0.7499 0.2497  10 Pr 3.64-3.70, 1 Mg 3.64, 1 Er 3.65
Pr 0.2545 0.2493 0.2493  1 Mg 3.64, 1 Er 3.64, 10 Pr 3.65-3.71
Pr 0.5000 0.5012 0.9992  8 Pr 3.64-3.65, 2 Mg 3.66-3.67, 2 Er 3.66-3.67
Pr 0.5000 0.9992 0.5012  8 Pr 3.64-3.65, 2 Mg 3.66-3.67, 2 Er 3.66-3.67
Pr 0.7455 0.2493 0.2493  1 Mg 3.64, 1 Er 3.64, 10 Pr 3.65-3.71
Pr 0.7461 0.2497 0.7499  10 Pr 3.64-3.70, 1 Mg 3.64, 1 Er 3.65
Pr 0.7461 0.7499 0.2497  10 Pr 3.64-3.70, 1 Mg 3.64, 1 Er 3.65
Pr 0.7467 0.7502 0.7502  10 Pr 3.64-3.70, 1 Mg 3.65, 1 Er 3.65
Er 0.5000 0.4997 0.4997  12 Pr 3.64-3.67
Mg 0.5000 0.0000 0.0000  12 Pr 3.64-3.67

No. 2
Computed, not measured: an optimized crystal structure of Pr3Er12Mg at the PBE level of DFT.

Calculated values
energy: -70.23 eV/f.u.
energy relative to the elements: 0.03 eV/atom
total magnetic moment: 0.0 μB per cell
N(E_F): 1.325 states/eV per atom

Cell lengths 4.9987, 4.9987, 19.9786 Å; angles 90.00, 90.00, 90.00 degrees
Last column: nearest neighbours and their distance in Å.
Atoms (fractional coordinates):
Pr 0.0000 0.0000 0.0000  12 Er 3.53-3.56
Pr 0.0000 0.0000 0.2524  12 Er 3.54-3.56
Pr 0.0000 0.0000 0.7476  12 Er 3.54-3.56
Er 0.0000 0.5000 0.1269  8 Er 3.53-3.59, 4 Pr 3.54-3.56
Er 0.0000 0.5000 0.3792  8 Er 3.48-3.53, 2 Mg 3.48, 2 Pr 3.56
Er 0.0000 0.5000 0.6208  8 Er 3.48-3.53, 2 Mg 3.48, 2 Pr 3.56
Er 0.0000 0.5000 0.8731  8 Er 3.53-3.59, 4 Pr 3.54-3.56
Er 0.5000 0.0000 0.1269  8 Er 3.53-3.59, 4 Pr 3.54-3.56
Er 0.5000 0.0000 0.3792  8 Er 3.48-3.53, 2 Mg 3.48, 2 Pr 3.56
Er 0.5000 0.0000 0.6208  8 Er 3.48-3.53, 2 Mg 3.48, 2 Pr 3.56
Er 0.5000 0.0000 0.8731  8 Er 3.53-3.59, 4 Pr 3.54-3.56
Er 0.5000 0.5000 0.0000  4 Pr 3.53, 8 Er 3.56
Er 0.5000 0.5000 0.2561  8 Er 3.51-3.59, 4 Pr 3.54
Er 0.5000 0.5000 0.5000  8 Er 3.48, 4 Mg 3.53
Er 0.5000 0.5000 0.7439  8 Er 3.51-3.59, 4 Pr 3.54
Mg 0.0000 0.0000 0.5000  12 Er 3.48-3.53

No. 3
Computed, not measured: an optimized crystal structure of PrEr14Mg at the PBE level of DFT.

Calculated values
energy: -69.85 eV/f.u.
energy relative to the elements: 0.02 eV/atom
total magnetic moment: 0.0 μB per cell
N(E_F): 1.126 states/eV per atom

Cell lengths 6.9975, 6.9975, 9.9223 Å; angles 90.00, 90.00, 90.00 degrees
Last column: nearest neighbours and their distance in Å.
Atoms (fractional coordinates):
Pr 0.0000 0.0000 0.0000  12 Er 3.50-3.51
Er 0.0000 0.0000 0.5000  12 Er 3.49-3.50
Er 0.0000 0.5000 0.0000  2 Mg 3.50, 2 Pr 3.50, 8 Er 3.51
Er 0.0000 0.5000 0.5000  12 Er 3.49-3.50
Er 0.2495 0.2495 0.2515  10 Er 3.49-3.51, 1 Pr 3.51, 1 Mg 3.52
Er 0.2495 0.2495 0.7485  10 Er 3.49-3.51, 1 Pr 3.51, 1 Mg 3.52
Er 0.2495 0.7505 0.2515  10 Er 3.49-3.51, 1 Pr 3.51, 1 Mg 3.52
Er 0.2495 0.7505 0.7485  10 Er 3.49-3.51, 1 Pr 3.51, 1 Mg 3.52
Er 0.5000 0.0000 0.0000  2 Mg 3.50, 2 Pr 3.50, 8 Er 3.51
Er 0.5000 0.0000 0.5000  12 Er 3.49-3.50
Er 0.5000 0.5000 0.5000  12 Er 3.50
Er 0.7505 0.2495 0.2515  10 Er 3.49-3.51, 1 Pr 3.51, 1 Mg 3.52
Er 0.7505 0.2495 0.7485  10 Er 3.49-3.51, 1 Pr 3.51, 1 Mg 3.52
Er 0.7505 0.7505 0.2515  10 Er 3.49-3.51, 1 Pr 3.51, 1 Mg 3.52
Er 0.7505 0.7505 0.7485  10 Er 3.49-3.51, 1 Pr 3.51, 1 Mg 3.52
Mg 0.5000 0.5000 0.0000  12 Er 3.50-3.52

No. 4
Computed, not measured: an optimized crystal structure of Pr4Er2Mg at the PBE level of DFT.

Calculated values
energy: -29.02 eV/f.u.
energy relative to the elements: 0.12 eV/atom
relative energy among the computed polymorphs: 0 meV/atom
total magnetic moment: 0.0 μB per cell
N(E_F): 1.036 states/eV per atom

Cell lengths 5.9946, 3.6952, 11.0848 Å; angles 90.00, 99.41, 90.00 degrees
Last column: nearest neighbours and their distance in Å.
Atoms (fractional coordinates):
Pr 0.0455 0.0000 0.2058  6 Pr 3.54-3.70, 2 Mg 3.67-3.83, 3 Er 3.80-3.89
Pr 0.4382 0.5000 0.7483  2 Mg 3.32, 3 Er 3.38-3.48, 6 Pr 3.54-3.70
Pr 0.5618 0.5000 0.2517  2 Mg 3.32, 3 Er 3.38-3.48, 6 Pr 3.54-3.70
Pr 0.9545 0.0000 0.7942  6 Pr 3.54-3.70, 2 Mg 3.67-3.83, 3 Er 3.80-3.89
Er 0.0000 0.5000 0.5000  6 Pr 3.48-3.80, 6 Er 3.52-3.70
Er 0.5000 0.0000 0.5000  4 Pr 3.38, 6 Er 3.52-3.70
Mg 0.5000 0.0000 0.0000  6 Pr 3.32-3.67, 2 Mg 3.70

No. 5
Computed, not measured: an optimized crystal structure of Pr3Er4Mg at the PBE level of DFT.

Calculated values
energy: -34.16 eV/f.u.
energy relative to the elements: 0.00 eV/atom
relative energy among the computed polymorphs: 0 meV/atom
total magnetic moment: 0.0 μB per cell
N(E_F): 1.330 states/eV per atom

Cell lengths 11.3580, 7.2053, 6.2427 Å; angles 90.00, 90.00, 90.00 degrees
Last column: nearest neighbours and their distance in Å.
Atoms (fractional coordinates):
Pr 0.0000 0.1315 0.0000  6 Er 3.48-3.78, 4 Pr 3.50-3.59, 2 Mg 3.60-3.74
Pr 0.2411 0.1223 0.6505  2 Mg 3.46-3.61, 4 Pr 3.50-3.59, 6 Er 3.52-3.64
Pr 0.2589 0.8777 0.1505  2 Mg 3.46-3.61, 4 Pr 3.50-3.59, 6 Er 3.52-3.64
Pr 0.5000 0.8685 0.5000  6 Er 3.48-3.78, 4 Pr 3.50-3.59, 2 Mg 3.60-3.74
Pr 0.7411 0.8777 0.1505  2 Mg 3.46-3.61, 4 Pr 3.50-3.59, 6 Er 3.52-3.64
Pr 0.7589 0.1223 0.6505  2 Mg 3.46-3.61, 4 Pr 3.50-3.59, 6 Er 3.52-3.64
Er 0.0000 0.3883 0.4724  6 Er 3.43-3.62, 2 Mg 3.43-3.78, 4 Pr 3.48-3.78
Er 0.0000 0.6241 0.9849  6 Er 3.48-3.62, 4 Pr 3.55-3.66, 2 Mg 3.56-3.58
Er 0.2444 0.6217 0.6480  6 Er 3.43-3.58, 1 Mg 3.43, 5 Pr 3.53-3.64
Er 0.2556 0.3783 0.1480  6 Er 3.43-3.58, 1 Mg 3.43, 5 Pr 3.53-3.64
Er 0.5000 0.3759 0.4849  6 Er 3.48-3.62, 4 Pr 3.55-3.66, 2 Mg 3.56-3.58
Er 0.5000 0.6117 0.9724  6 Er 3.43-3.62, 2 Mg 3.43-3.78, 4 Pr 3.48-3.78
Er 0.7444 0.3783 0.1480  6 Er 3.43-3.58, 1 Mg 3.43, 5 Pr 3.53-3.64
Er 0.7556 0.6217 0.6480  6 Er 3.43-3.58, 1 Mg 3.43, 5 Pr 3.53-3.64
Mg 0.0000 0.8642 0.4869  6 Er 3.43-3.78, 6 Pr 3.46-3.74
Mg 0.5000 0.1358 0.9869  6 Er 3.43-3.78, 6 Pr 3.46-3.74

No. 6
Computed, not measured: an optimized crystal structure of Pr3Er3Mg2 at the PBE level of DFT.

Calculated values
energy: -30.73 eV/f.u.
energy relative to the elements: 0.06 eV/atom
total magnetic moment: 0.0 μB per cell
N(E_F): 1.123 states/eV per atom

Cell lengths 6.4968, 6.4968, 15.7960 Å; angles 90.00, 90.00, 131.14 degrees
Last column: nearest neighbours and their distance in Å.
Atoms (fractional coordinates):
Pr 0.0371 0.9629 0.6045  1 Mg 3.25, 2 Pr 3.40-3.42, 4 Er 3.54-3.61
Pr 0.0371 0.9629 0.8955  1 Mg 3.25, 2 Pr 3.40-3.42, 4 Er 3.54-3.61
Pr 0.2493 0.7507 0.7500  4 Mg 3.18, 1 Er 3.25, 2 Pr 3.40
Pr 0.7507 0.2493 0.2500  4 Mg 3.18, 1 Er 3.25, 2 Pr 3.40
Pr 0.9629 0.0371 0.1045  1 Mg 3.25, 2 Pr 3.40-3.42, 4 Er 3.54-3.61
Pr 0.9629 0.0371 0.3955  1 Mg 3.25, 2 Pr 3.40-3.42, 4 Er 3.54-3.61
Er 0.3557 0.6443 0.5354  3 Mg 3.17-3.35
Er 0.3557 0.6443 0.9646  3 Mg 3.17-3.35
Er 0.4762 0.5238 0.2500  5 Pr 3.25-3.54, 2 Mg 3.34
Er 0.5238 0.4762 0.7500  5 Pr 3.25-3.54, 2 Mg 3.34
Er 0.6443 0.3557 0.0354  3 Mg 3.17-3.35
Er 0.6443 0.3557 0.4646  3 Mg 3.17-3.35
Mg 0.2330 0.7670 0.1430  4 Er 3.17-3.35, 3 Pr 3.18-3.25, 1 Mg 3.38
Mg 0.2330 0.7670 0.3570  4 Er 3.17-3.35, 3 Pr 3.18-3.25, 1 Mg 3.38
Mg 0.7670 0.2330 0.6430  4 Er 3.17-3.35, 3 Pr 3.18-3.25, 1 Mg 3.38
Mg 0.7670 0.2330 0.8570  4 Er 3.17-3.35, 3 Pr 3.18-3.25, 1 Mg 3.38

No. 7
Computed, not measured: an optimized crystal structure of Pr5Er4Mg at the PBE level of DFT.

Calculated values
energy: -43.73 eV/f.u.
energy relative to the elements: 0.00 eV/atom
total magnetic moment: 0.0 μB per cell
N(E_F): 1.364 states/eV per atom

Cell lengths 3.6483, 3.6483, 24.5791 Å; angles 90.00, 90.00, 90.00 degrees
Last column: nearest neighbours and their distance in Å.
Atoms (fractional coordinates):
Pr 0.0000 0.0000 0.0000  8 Er 3.60, 4 Pr 3.65
Pr 0.0000 0.0000 0.2040  8 Er 3.59-3.61, 4 Pr 3.65
Pr 0.0000 0.0000 0.4084  4 Mg 3.42, 4 Er 3.59, 4 Pr 3.65
Pr 0.0000 0.0000 0.5916  4 Mg 3.42, 4 Er 3.59, 4 Pr 3.65
Pr 0.0000 0.0000 0.7960  8 Er 3.59-3.61, 4 Pr 3.65
Er 0.5000 0.5000 0.1024  8 Pr 3.59-3.60, 4 Er 3.65
Er 0.5000 0.5000 0.3067  8 Pr 3.59-3.61, 4 Er 3.65
Er 0.5000 0.5000 0.6933  8 Pr 3.59-3.61, 4 Er 3.65
Er 0.5000 0.5000 0.8976  8 Pr 3.59-3.60, 4 Er 3.65
Mg 0.5000 0.5000 0.5000  8 Pr 3.42, 4 Mg 3.65

No. 8
Computed, not measured: an optimized crystal structure of PrEr2Mg5 at the PBE level of DFT.

Calculated values
energy: -22.53 eV/f.u.
energy relative to the elements: -0.08 eV/atom
total magnetic moment: 0.0 μB per cell
N(E_F): 0.702 states/eV per atom

Cell lengths 8.4554, 8.4554, 8.4554 Å; angles 143.63, 143.63, 52.38 degrees
Last column: nearest neighbours and their distance in Å.
Atoms (fractional coordinates):
Pr 0.0000 0.0000 0.0000  8 Mg 3.24
Er 0.2579 0.2579 0.0000  8 Mg 3.20-3.34
Er 0.7421 0.7421 0.0000  8 Mg 3.20-3.34
Mg 0.1234 0.6234 0.5000  4 Er 3.20-3.34, 2 Pr 3.24, 2 Mg 3.24
Mg 0.3766 0.8766 0.5000  4 Er 3.20-3.34, 2 Mg 3.24, 2 Pr 3.24
Mg 0.5000 0.5000 0.0000  8 Mg 3.24
Mg 0.6234 0.1234 0.5000  4 Er 3.20-3.34, 2 Pr 3.24, 2 Mg 3.24
Mg 0.8766 0.3766 0.5000  4 Er 3.20-3.34, 2 Mg 3.24, 2 Pr 3.24

No. 9
Computed, not measured: an optimized crystal structure of Pr5Er2Mg at the PBE level of DFT.

Calculated values
energy: -34.53 eV/f.u.
energy relative to the elements: 0.01 eV/atom
total magnetic moment: 0.0 μB per cell
N(E_F): 1.014 states/eV per atom

Cell lengths 7.2583, 7.1764, 7.1763 Å; angles 60.76, 59.62, 59.62 degrees
Last column: nearest neighbours and their distance in Å.
Atoms (fractional coordinates):
Pr 0.0000 0.0000 0.0000  8 Pr 3.58-3.60, 4 Er 3.62-3.64
Pr 0.0000 0.0000 0.5000  4 Er 3.59, 6 Pr 3.59-3.63, 2 Mg 3.59
Pr 0.5000 0.5000 0.0000  4 Er 3.59, 6 Pr 3.59-3.63, 2 Mg 3.59
Pr 0.5010 0.9984 0.4990  2 Mg 3.58-3.60, 6 Pr 3.58-3.63, 4 Er 3.59
Pr 0.9984 0.5010 0.0016  2 Mg 3.58-3.60, 6 Pr 3.58-3.63, 4 Er 3.59
Er 0.0012 0.4990 0.5010  10 Pr 3.59-3.64, 2 Mg 3.62-3.64
Er 0.4990 0.0012 0.9988  10 Pr 3.59-3.64, 2 Mg 3.62-3.64
Mg 0.4996 0.4996 0.5004  8 Pr 3.58-3.60, 4 Er 3.62-3.64

No. 10
Computed, not measured: an optimized crystal structure of Pr4Er3Mg2 at the PBE level of DFT.

Calculated values
energy: -36.11 eV/f.u.
energy relative to the elements: -0.01 eV/atom
total magnetic moment: 0.0 μB per cell
N(E_F): 1.044 states/eV per atom

Cell lengths 6.7350, 6.7350, 12.2703 Å; angles 108.28, 108.28, 32.78 degrees
Last column: nearest neighbours and their distance in Å.
Atoms (fractional coordinates):
Pr 0.0124 0.0124 0.3494  2 Mg 3.34, 5 Er 3.58-3.62, 2 Pr 3.62
Pr 0.3148 0.3148 0.1251  2 Mg 3.36, 4 Pr 3.53-3.62, 3 Er 3.60-3.75
Pr 0.6852 0.6852 0.8749  2 Mg 3.36, 4 Pr 3.53-3.62, 3 Er 3.60-3.75
Pr 0.9876 0.9876 0.6506  2 Mg 3.34, 5 Er 3.58-3.62, 2 Pr 3.62
Er 0.0000 0.0000 0.0000  4 Mg 3.26
Er 0.3053 0.3053 0.4149  2 Mg 3.29, 2 Er 3.46, 6 Pr 3.58-3.62
Er 0.6947 0.6947 0.5851  2 Mg 3.29, 2 Er 3.46, 6 Pr 3.58-3.62
Mg 0.3580 0.3580 0.7884  4 Er 3.26-3.29, 4 Pr 3.34-3.36
Mg 0.6420 0.6420 0.2116  4 Er 3.26-3.29, 4 Pr 3.34-3.36

No. 11
Computed, not measured: an optimized crystal structure of Pr2Er2Mg at the PBE level of DFT.

Calculated values
energy: -20.37 eV/f.u.
energy relative to the elements: -0.02 eV/atom
relative energy among the computed polymorphs: 0 meV/atom
total magnetic moment: 0.0 μB per cell
N(E_F): 1.290 states/eV per atom

Cell lengths 12.3107, 12.3107, 12.3107 Å; angles 163.09, 163.09, 24.00 degrees
Last column: nearest neighbours and their distance in Å.
Atoms (fractional coordinates):
Pr 0.0952 0.0952 0.0000  4 Mg 3.44, 4 Er 3.59, 4 Pr 3.62
Pr 0.9048 0.9048 0.0000  4 Mg 3.44, 4 Er 3.59, 4 Pr 3.62
Er 0.3003 0.3003 0.0000  8 Er 3.53-3.62, 4 Pr 3.59
Er 0.6997 0.6997 0.0000  8 Er 3.53-3.62, 4 Pr 3.59
Mg 0.5000 0.5000 0.0000  8 Pr 3.44, 4 Mg 3.62

No. 12
Computed, not measured: an optimized crystal structure of Pr4Er2Mg at the PBE level of DFT.

Calculated values
energy: -28.53 eV/f.u.
energy relative to the elements: 0.19 eV/atom
relative energy among the computed polymorphs: 69 meV/atom
total magnetic moment: 0.0 μB per cell
N(E_F): 1.109 states/eV per atom

Cell lengths 8.9974, 8.9974, 8.9974 Å; angles 134.99, 101.28, 95.59 degrees
Last column: nearest neighbours and their distance in Å.
Atoms (fractional coordinates):
Pr 0.1689 0.1565 0.0125  1 Er 3.37, 2 Mg 3.40, 2 Pr 3.70
Pr 0.2411 0.2148 0.4737  1 Pr 3.08, 1 Mg 3.13, 3 Er 3.15-3.43
Pr 0.2411 0.7674 0.0263  1 Pr 3.08, 1 Mg 3.13, 3 Er 3.15-3.43
Pr 0.3560 0.8435 0.5125  1 Er 3.37, 2 Mg 3.40, 2 Pr 3.70
Pr 0.6440 0.1565 0.4875  1 Er 3.37, 2 Mg 3.40, 2 Pr 3.70
Pr 0.7589 0.2326 0.9737  1 Pr 3.08, 1 Mg 3.13, 3 Er 3.15-3.43
Pr 0.7589 0.7852 0.5263  1 Pr 3.08, 1 Mg 3.13, 3 Er 3.15-3.43
Pr 0.8311 0.8435 0.9875  1 Er 3.37, 2 Mg 3.40, 2 Pr 3.70
Er 0.0000 0.5000 0.5000  4 Pr 3.43
Er 0.0337 0.2837 0.7500  4 Pr 3.15-3.37
Er 0.5000 0.5000 0.0000  4 Pr 3.43
Er 0.9663 0.7163 0.2500  4 Pr 3.15-3.37
Mg 0.5000 0.0000 0.0000  6 Pr 3.13-3.40, 2 Mg 3.44
Mg 0.5000 0.5000 0.5000  6 Pr 3.13-3.40, 2 Mg 3.44